Material: CaYPu2S4
Method: DFT, GGA-PBE
State: relaxed

Calculated values
Symmetry ... P2/m (10)
Formation energy without anion corrections ... -183 kJ per mole of atoms
DOS at the Fermi energy ... 1.842 states/eV/atom
Mass density ... 7.00 Mg/m³
Total energy ... -8.606 eV per atom
Spin magnetization ... 11.60 μB/f.u.

a = 3.9616 Å, b = 6.8739 Å, c = 6.8823 Å
α = 109.40°, β = 90.00°, γ = 90.00°
Closest atoms and distances in Å follow each position.
Sites, in units of the cell vectors:
Pu  0.5000  0.0000  0.5000  6 S 2.80
Pu  0.0000  0.5000  0.5000  6 S 2.82-2.83
S  0.5000  0.2473  0.2480  2 Y 2.79, 3 Pu 2.80-2.82, 1 Ca 2.81
S  0.0000  0.2475  0.7508  1 Y 2.79, 3 Pu 2.80-2.83, 2 Ca 2.81
S  0.0000  0.7525  0.2492  1 Y 2.79, 3 Pu 2.80-2.83, 2 Ca 2.81
S  0.5000  0.7527  0.7520  2 Y 2.79, 3 Pu 2.80-2.82, 1 Ca 2.81
Y  0.0000  0.0000  0.0000  6 S 2.79
Ca  0.5000  0.5000  0.0000  6 S 2.81